Record 1
Entry from Alexandria via LeMat-Bulk: a geometry-optimized Mn2Cd2Pd structure (PBE-GGA).

CIF file:
```
data_Mn2Cd2Pd
_chemical_formula_sum 'Mn4 Cd4 Pd2'
_cell_length_a 7.501
_cell_length_b 7.501
_cell_length_c 2.970
_cell_angle_alpha 90.00
_cell_angle_beta 90.00
_cell_angle_gamma 90.00
_space_group_name_H-M_alt 'P 4/m b m'
_space_group_IT_number 127
_space_group_name_Hall '-P 4 2ab'
loop_
_atom_site_label
_atom_site_fract_x
_atom_site_fract_y
_atom_site_fract_z
Mn1 0.094 0.406 0.000
Cd1 0.199 0.699 0.500
Pd1 0.000 0.000 0.000
```

## Properties
energy of formation from the pure elements: 0.440 eV per atom
electronic total energy: -4.63 eV/atom
relative energy among the computed polymorphs: 0 meV/atom

=====

Record 2
Entry from Alexandria via LeMat-Bulk: a geometry-optimized MnCd4Pd15 structure (PBE-GGA).

CIF file:
```
data_MnCd4Pd15
_chemical_formula_sum 'Mn1 Cd4 Pd15'
_cell_length_a 4.008
_cell_length_b 4.008
_cell_length_c 20.053
_cell_angle_alpha 90.00
_cell_angle_beta 90.00
_cell_angle_gamma 90.00
_space_group_name_H-M_alt 'P 4/m m m'
_space_group_IT_number 123
_space_group_name_Hall '-P 4 2'
loop_
_atom_site_label
_atom_site_fract_x
_atom_site_fract_y
_atom_site_fract_z
Mn1 0.000 0.000 0.000
Cd1 0.000 0.000 0.196
Cd2 0.000 0.000 0.399
Pd1 0.000 0.500 0.094
Pd2 0.000 0.500 0.297
Pd3 0.000 0.500 0.500
Pd4 0.500 0.500 0.000
Pd5 0.500 0.500 0.196
Pd6 0.500 0.500 0.399
```

## Properties
energy of formation from the pure elements: -0.236 eV per atom
electronic total energy: -4.77 eV/atom

=====

Record 3
Entry from Alexandria via LeMat-Bulk: a geometry-optimized MnCd2Pd6 structure (PBE-GGA).

CIF file:
```
data_MnCd2Pd6
_chemical_formula_sum 'Mn2 Cd4 Pd12'
_cell_length_a 14.240
_cell_length_b 7.659
_cell_length_c 2.851
_cell_angle_alpha 90.00
_cell_angle_beta 100.65
_cell_angle_gamma 90.00
_space_group_name_H-M_alt 'C 1 2/m 1'
_space_group_IT_number 12
loop_
_space_group_symop_operation_xyz
'x,y,z'
'-x,-y,-z'
'-x,y,-z'
'x,-y,z'
'x+1/2,y+1/2,z'
'-x+1/2,-y+1/2,-z'
'-x+1/2,y+1/2,-z'
'x+1/2,-y+1/2,z'
loop_
_atom_site_label
_atom_site_fract_x
_atom_site_fract_y
_atom_site_fract_z
Mn1 0.000 0.000 0.000
Cd1 0.164 0.500 0.642
Pd1 0.000 0.292 0.500
Pd2 0.165 0.184 0.153
```

## Properties
energy of formation from the pure elements: -0.151 eV per atom
electronic total energy: -4.83 eV/atom

=====

Record 4
Entry from Alexandria via LeMat-Bulk: a geometry-optimized MnCdPd5 structure (PBE-GGA).

CIF file:
```
data_MnCdPd5
_chemical_formula_sum 'Mn2 Cd2 Pd10'
_cell_length_a 5.517
_cell_length_b 7.841
_cell_length_c 5.629
_cell_angle_alpha 90.00
_cell_angle_beta 90.00
_cell_angle_gamma 90.00
_space_group_name_H-M_alt 'C m m m'
_space_group_IT_number 65
_space_group_name_Hall '-C 2 2'
loop_
_atom_site_label
_atom_site_fract_x
_atom_site_fract_y
_atom_site_fract_z
Mn1 0.000 0.000 0.000
Cd1 0.000 0.500 0.500
Pd1 0.000 0.500 0.000
Pd2 0.250 0.250 0.248
```

## Properties
energy of formation from the pure elements: -0.106 eV per atom
electronic total energy: -5.26 eV/atom

=====

Record 5
Entry from Alexandria via LeMat-Bulk: a geometry-optimized Mn2CdPdPt structure (PBE-GGA).

CIF file:
```
data_Mn2CdPdPt
_chemical_formula_sum 'Mn2 Cd1 Pd1 Pt1'
_cell_length_a 4.799
_cell_length_b 4.799
_cell_length_c 5.068
_cell_angle_alpha 90.00
_cell_angle_beta 90.00
_cell_angle_gamma 90.00
_space_group_name_H-M_alt 'P 4/m m m'
_space_group_IT_number 123
_space_group_name_Hall '-P 4 2'
loop_
_atom_site_label
_atom_site_fract_x
_atom_site_fract_y
_atom_site_fract_z
Mn1 0.000 0.500 0.000
Cd1 0.000 0.000 0.500
Pd1 0.500 0.500 0.500
Pt1 0.500 0.500 0.000
```

## Properties
energy of formation from the pure elements: 0.637 eV per atom
electronic total energy: -5.46 eV/atom

=====

Record 6
Entry from Alexandria via LeMat-Bulk: a geometry-optimized Mn2CdRePd structure (PBE-GGA).

CIF file:
```
data_Mn2CdRePd
_chemical_formula_sum 'Mn2 Cd1 Re1 Pd1'
_cell_length_a 4.666
_cell_length_b 4.666
_cell_length_c 4.884
_cell_angle_alpha 90.00
_cell_angle_beta 90.00
_cell_angle_gamma 90.00
_space_group_name_H-M_alt 'P 4/m m m'
_space_group_IT_number 123
_space_group_name_Hall '-P 4 2'
loop_
_atom_site_label
_atom_site_fract_x
_atom_site_fract_y
_atom_site_fract_z
Mn1 0.000 0.500 0.000
Cd1 0.000 0.000 0.500
Re1 0.500 0.500 0.500
Pd1 0.000 0.000 0.000
```

## Properties
energy of formation from the pure elements: 1.603 eV per atom
electronic total energy: -5.78 eV/atom

=====

Record 7
Entry from Alexandria via LeMat-Bulk: a geometry-optimized MnCdSnPd structure (PBE-GGA).

CIF file:
```
data_MnCdSnPd
_chemical_formula_sum 'Mn4 Cd4 Sn4 Pd4'
_cell_length_a 6.617
_cell_length_b 6.617
_cell_length_c 6.617
_cell_angle_alpha 90.00
_cell_angle_beta 90.00
_cell_angle_gamma 90.00
_space_group_name_H-M_alt 'F -4 3 m'
_space_group_IT_number 216
_space_group_name_Hall 'F -4 2 3'
loop_
_atom_site_label
_atom_site_fract_x
_atom_site_fract_y
_atom_site_fract_z
Mn1 0.000 0.000 0.000
Cd1 0.250 0.250 0.250
Sn1 0.250 0.250 0.750
Pd1 0.000 0.000 0.500
```

## Properties
energy of formation from the pure elements: -0.090 eV per atom
electronic total energy: -4.91 eV/atom

=====

Record 8
Entry from Alexandria via LeMat-Bulk: a geometry-optimized TaMn2CdPd structure (PBE-GGA).

CIF file:
```
data_TaMn2CdPd
_chemical_formula_sum 'Ta1 Mn2 Cd1 Pd1'
_cell_length_a 4.526
_cell_length_b 4.526
_cell_length_c 5.337
_cell_angle_alpha 90.00
_cell_angle_beta 90.00
_cell_angle_gamma 90.00
_space_group_name_H-M_alt 'P 4/m m m'
_space_group_IT_number 123
_space_group_name_Hall '-P 4 2'
loop_
_atom_site_label
_atom_site_fract_x
_atom_site_fract_y
_atom_site_fract_z
Ta1 0.000 0.000 0.000
Mn1 0.000 0.500 0.000
Cd1 0.000 0.000 0.500
Pd1 0.500 0.500 0.500
```

## Properties
energy of formation from the pure elements: 1.321 eV per atom
electronic total energy: -5.94 eV/atom

=====

Record 9
Entry from Alexandria via LeMat-Bulk: a geometry-optimized MnTlCd2Pd structure (PBE-GGA).

CIF file:
```
data_MnTlCd2Pd
_chemical_formula_sum 'Mn1 Tl1 Cd2 Pd1'
_cell_length_a 5.233
_cell_length_b 5.233
_cell_length_c 4.831
_cell_angle_alpha 90.00
_cell_angle_beta 90.00
_cell_angle_gamma 90.00
_space_group_name_H-M_alt 'P 4/m m m'
_space_group_IT_number 123
_space_group_name_Hall '-P 4 2'
loop_
_atom_site_label
_atom_site_fract_x
_atom_site_fract_y
_atom_site_fract_z
Mn1 0.000 0.000 0.000
Tl1 0.500 0.500 0.500
Cd1 0.000 0.500 0.000
Pd1 0.000 0.000 0.500
```

## Properties
energy of formation from the pure elements: 0.478 eV per atom
electronic total energy: -3.23 eV/atom

=====

Record 10
Entry from Alexandria via LeMat-Bulk: a geometry-optimized MnZnCd2Pd structure (PBE-GGA).

CIF file:
```
data_MnZnCd2Pd
_chemical_formula_sum 'Mn1 Zn1 Cd2 Pd1'
_cell_length_a 5.031
_cell_length_b 5.031
_cell_length_c 4.653
_cell_angle_alpha 90.00
_cell_angle_beta 90.00
_cell_angle_gamma 90.00
_space_group_name_H-M_alt 'P 4/m m m'
_space_group_IT_number 123
_space_group_name_Hall '-P 4 2'
loop_
_atom_site_label
_atom_site_fract_x
_atom_site_fract_y
_atom_site_fract_z
Mn1 0.000 0.000 0.000
Zn1 0.000 0.000 0.500
Cd1 0.000 0.500 0.000
Pd1 0.500 0.500 0.500
```

## Properties
energy of formation from the pure elements: 0.757 eV per atom
electronic total energy: -2.74 eV/atom

=====

Record 11
Entry from Alexandria via LeMat-Bulk: a geometry-optimized MnZn2Cd2Pd5 structure (PBE-GGA).

CIF file:
```
data_MnZn2Cd2Pd5
_chemical_formula_sum 'Mn2 Zn4 Cd4 Pd10'
_cell_length_a 10.552
_cell_length_b 10.552
_cell_length_c 2.988
_cell_angle_alpha 90.00
_cell_angle_beta 90.00
_cell_angle_gamma 90.00
_space_group_name_H-M_alt 'P 4/m b m'
_space_group_IT_number 127
_space_group_name_Hall '-P 4 2ab'
loop_
_atom_site_label
_atom_site_fract_x
_atom_site_fract_y
_atom_site_fract_z
Mn1 0.000 0.000 0.000
Zn1 0.143 0.357 0.000
Cd1 0.172 0.672 0.000
Pd1 0.000 0.500 0.500
Pd2 0.020 0.203 0.500
```

## Properties
energy of formation from the pure elements: -0.289 eV per atom
electronic total energy: -4.24 eV/atom

=====

Record 12
Entry from Alexandria via LeMat-Bulk: a geometry-optimized PmPrMnCd structure (PBE-GGA).

CIF file:
```
data_PmPrMnCd
_chemical_formula_sum 'Pm4 Pr4 Mn4 Cd4'
_cell_length_a 7.550
_cell_length_b 7.550
_cell_length_c 7.550
_cell_angle_alpha 90.00
_cell_angle_beta 90.00
_cell_angle_gamma 90.00
_space_group_name_H-M_alt 'F -4 3 m'
_space_group_IT_number 216
_space_group_name_Hall 'F -4 2 3'
loop_
_atom_site_label
_atom_site_fract_x
_atom_site_fract_y
_atom_site_fract_z
Pm1 0.000 0.000 0.000
Pr1 0.000 0.000 0.500
Mn1 0.250 0.250 0.750
Cd1 0.250 0.250 0.250
```

## Properties
energy of formation from the pure elements: 0.015 eV per atom
electronic total energy: -4.89 eV/atom

=====

energy of formation from the pure elements of number 11 (MnZn2Cd2Pd5)?
-0.289 eV per atom

=====

Among the records above, which one has the lowest energy of formation from the pure elements?
MnZn2Cd2Pd5

=====

Among the records above, which one has the highest electronic total energy?
MnZnCd2Pd